No. 1
The following is a DFT calculation (PBE-GGA) of a geometry-optimized KLiRe2 structure.

The energy above the most stable polymorph in this dataset comes out at 25.1 meV per atom. The density of states at the Fermi level comes out at 2.5 states/eV per cell. The calculation puts the energy relative to the elements at 0.642 eV/atom. Its density is 8.0 g/cm3.

Lattice parameters (Å, degrees): 2.727 4.176 7.731 90.00 99.23 90.00
Sites, in units of the cell vectors:
K  0.000  0.000  0.000
Li  0.776  0.500  0.347
Re  0.192  0.500  0.671
Re  0.447  0.000  0.541



No. 2
The following is a DFT calculation (PBE-GGA) of a geometry-optimized InGe2BiBr structure.

As for the uncorrected formation energy: 0.615 eV per atom. The density of states at the Fermi level comes out at 5.1 states/eV per cell. Its density is 4.4 g/cm3.

Lattice parameters (Å, degrees): 5.546 5.546 6.727 90.00 90.00 90.00
Sites, in units of the cell vectors:
In  0.000  0.000  0.000
Ge  0.000  0.500  0.500
Ge  0.500  0.000  0.500
Bi  0.000  0.000  0.500
Br  0.500  0.500  0.000



No. 3
The following is a DFT calculation (PBE-GGA) of a geometry-optimized Y3Zr2 structure.

The density of states at the Fermi level comes out at 8.5 states/eV per cell. The calculation puts the energy relative to the elements at 0.385 eV/atom. Its density is 4.8 g/cm3.

Lattice parameters (Å, degrees): 5.264 5.264 6.524 90.00 90.00 120.00
Sites, in units of the cell vectors:
Y  0.000  0.000  0.000
Y  0.333  0.667  0.352
Y  0.667  0.333  0.648
Zr  0.333  0.667  0.892
Zr  0.667  0.333  0.108



No. 4
The following is a DFT calculation (PBE-GGA) of a geometry-optimized LiGdMnRh structure.

The density of states at the Fermi level comes out at 2.8 states/eV per cell. The calculation puts the energy relative to the elements at -0.176 eV/atom. Its density is 7.4 g/cm3.

Lattice parameters (Å, degrees): 4.673 4.673 4.673 60.00 60.00 60.00
Sites, in units of the cell vectors:
Li  0.000  0.000  0.000
Gd  0.750  0.750  0.750
Mn  0.250  0.250  0.250
Rh  0.500  0.500  0.500



No. 5
The following is a DFT calculation (PBE-GGA) of a geometry-optimized Re2WCl structure.

As for the uncorrected formation energy: 0.661 eV per atom. The energy above the most stable polymorph in this dataset comes out at 207.6 meV per atom. The density of states at the Fermi level comes out at 3.3 states/eV per cell. Its density is 15.9 g/cm3.

Lattice parameters (Å, degrees): 2.920 2.920 7.264 90.00 90.00 90.00
Sites, in units of the cell vectors:
Re  0.000  0.000  0.246
Re  0.000  0.000  0.754
W  0.500  0.500  0.000
Cl  0.500  0.500  0.500



No. 6
The following is a DFT calculation (PBE-GGA) of a geometry-optimized ZnInCl3 structure.

As for the uncorrected formation energy: -1.018 eV per atom. The energy above the most stable polymorph in this dataset comes out at 7.5 meV per atom. The density of states at the Fermi level comes out at 0.0 states/eV per cell. Its density is 2.5 g/cm3.

Lattice parameters (Å, degrees): 8.234 8.434 12.949 90.00 122.85 90.00
Sites, in units of the cell vectors:
Zn  0.068  0.164  0.076
Zn  0.068  0.336  0.576
Zn  0.932  0.664  0.424
Zn  0.932  0.836  0.924
In  0.246  0.576  0.223
In  0.246  0.924  0.723
In  0.754  0.076  0.277
In  0.754  0.424  0.777
Cl  0.039  0.079  0.893
Cl  0.039  0.421  0.393
Cl  0.145  0.640  0.965
Cl  0.145  0.860  0.465
Cl  0.370  0.235  0.223
Cl  0.370  0.265  0.723
Cl  0.630  0.735  0.277
Cl  0.630  0.765  0.777
Cl  0.855  0.140  0.535
Cl  0.855  0.360  0.035
Cl  0.961  0.579  0.607
Cl  0.961  0.921  0.107



No. 7
The following is a DFT calculation (PBE-GGA) of a geometry-optimized TiAl2Fe structure.

The density of states at the Fermi level comes out at 4.3 states/eV per cell. The calculation puts the energy relative to the elements at -0.219 eV/atom. Its density is 4.7 g/cm3.

Lattice parameters (Å, degrees): 4.277 4.277 4.277 60.00 60.00 60.00
Sites, in units of the cell vectors:
Ti  0.000  0.000  0.000
Al  0.250  0.250  0.250
Al  0.750  0.750  0.750
Fe  0.500  0.500  0.500



No. 8
The following is a DFT calculation (PBE-GGA) of a geometry-optimized TiI2Cl structure.

As for the uncorrected formation energy: -0.138 eV per atom. The energy above the most stable polymorph in this dataset comes out at 811.0 meV per atom. The density of states at the Fermi level comes out at 6.1 states/eV per cell. Its density is 5.6 g/cm3.

Lattice parameters (Å, degrees): 5.205 5.205 5.205 60.00 60.00 60.00
Sites, in units of the cell vectors:
Ti  0.000  0.000  0.000
I  0.250  0.250  0.250
I  0.750  0.750  0.750
Cl  0.500  0.500  0.500



No. 9
The following is a DFT calculation (PBE-GGA) of a geometry-optimized CsScH3 structure.

The energy above the most stable polymorph in this dataset comes out at 0.0 meV per atom. The density of states at the Fermi level comes out at 2.2 states/eV per cell. Its density is 3.8 g/cm3.

Lattice parameters (Å, degrees): 4.295 4.295 4.295 90.00 90.00 90.00
Sites, in units of the cell vectors:
Cs  0.000  0.000  0.000
Sc  0.500  0.500  0.500
H  0.000  0.500  0.500
H  0.500  0.000  0.500
H  0.500  0.500  0.000



No. 10
The following is a DFT calculation (PBE-GGA) of a geometry-optimized LaTePI2 structure.

As for the uncorrected formation energy: -0.238 eV per atom. The energy above the most stable polymorph in this dataset comes out at 0.0 meV per atom. The density of states at the Fermi level comes out at 8.1 states/eV per cell. Its density is 5.7 g/cm3.

Lattice parameters (Å, degrees): 5.419 5.419 5.510 90.00 90.00 90.00
Sites, in units of the cell vectors:
La  0.000  0.000  0.000
Te  0.500  0.500  0.000
P  0.500  0.500  0.500
I  0.000  0.500  0.500
I  0.500  0.000  0.500



No. 11
The following is a DFT calculation (PBE-GGA) of a geometry-optimized Pu4Bi3Au structure.

The density of states at the Fermi level comes out at 35.5 states/eV per cell. The calculation puts the energy relative to the elements at -0.359 eV/atom. Its density is 13.5 g/cm3.

Lattice parameters (Å, degrees): 3.368 5.765 11.437 90.00 90.00 90.00
Sites, in units of the cell vectors:
Pu  0.000  0.000  0.000
Pu  0.000  0.000  0.500
Pu  0.000  0.500  0.239
Pu  0.000  0.500  0.761
Bi  0.500  0.000  0.247
Bi  0.500  0.000  0.753
Bi  0.500  0.500  0.500
Au  0.500  0.500  0.000



No. 12
The following is a DFT calculation (PBE-GGA) of a geometry-optimized TeC4 structure.

As for the uncorrected formation energy: 2.143 eV per atom. The energy above the most stable polymorph in this dataset comes out at 415.8 meV per atom. The density of states at the Fermi level comes out at 3.0 states/eV per cell. Its density is 3.4 g/cm3.

Lattice parameters (Å, degrees): 4.834 4.834 4.834 105.55 105.55 117.64
Sites, in units of the cell vectors:
Te  0.000  0.000  0.000
C  0.000  0.391  0.391
C  0.000  0.609  0.609
C  0.391  0.000  0.391
C  0.609  0.000  0.609